ZnCu2Rh | meta-GGA SCAN | PBEsol geometry

Values from the calculation:
Raw total energy   -19.415 eV per atom
DOS(E_F)   2.59 states/eV/f.u.
DFT formation energy   7 meV/atom

```
data_ZnCu2Rh
_chemical_formula_sum 'Zn2 Cu4 Rh2'
_symmetry_space_group_name_H-M 'C m m 2'
_symmetry_Int_Tables_number 35
_cell_length_a 2.749
_cell_length_b 4.374
_cell_length_c 8.373
_cell_angle_alpha 90.00
_cell_angle_beta 90.00
_cell_angle_gamma 90.00
loop_
_symmetry_equiv_pos_as_xyz
'x,y,z'
'-x,-y,z'
'-x,y,z'
'x,-y,z'
'x+1/2,y+1/2,z'
'-x+1/2,-y+1/2,z'
'-x+1/2,y+1/2,z'
'x+1/2,-y+1/2,z'
loop_
_atom_site_label
_atom_site_type_symbol
_atom_site_fract_x
_atom_site_fract_y
_atom_site_fract_z
Zn1 Zn 0.000 0.000 0.000
Cu1 Cu 0.000 0.000 0.488
Cu2 Cu 0.000 0.500 0.248
Rh1 Rh 0.000 0.500 0.745
```